# 1
VASP calculation (PBE) on a geometry-optimized ZnCrPt2 structure.

Summary:
- DOS at the Fermi energy (states/eV per cell) = 7.11
- energy of formation from the pure elements (eV per atom) = -0.283

Lattice parameters (Å, degrees): 9.196 2.816 4.629 90.00 100.97 90.00
Space group Cm (No. 8)
Unique sites:
Zn  0.000  0.000  0.000 x2
Cr  0.252  0.500  0.310 x2
Pt  0.253  0.000  0.812 x2
Pt  0.495  0.000  0.489 x2



# 2
VASP calculation (PBE) on a geometry-optimized MnCoCu2 structure.

Summary:
- DOS at the Fermi energy (states/eV per cell) = 3.79
- energy of formation from the pure elements (eV per atom) = 0.136

Lattice parameters (Å, degrees): 2.535 2.535 7.173 90.00 90.00 90.00
Space group P4mm (No. 99)
Unique sites:
Mn  0.000  0.000  0.000 x1
Co  0.500  0.500  0.227 x1
Cu  0.000  0.000  0.480 x1
Cu  0.500  0.500  0.737 x1



# 3
VASP calculation (PBE) on a geometry-optimized Li3FeRe structure.

Summary:
- offset from the most stable computed form (meV per atom) = 0
- DOS at the Fermi energy (states/eV per cell) = 7.35
- energy of formation from the pure elements (eV per atom) = 1.634

Lattice parameters (Å, degrees): 4.009 4.009 4.009 90.00 90.00 90.00
Space group Pm-3m (No. 221)
Unique sites:
Li  0.000  0.000  0.500 x3
Fe  0.000  0.000  0.000 x1
Re  0.500  0.500  0.500 x1



# 4
VASP calculation (PBE) on a geometry-optimized ZnH2Rh structure.

Summary:
- DOS at the Fermi energy (states/eV per cell) = 2.46

Lattice parameters (Å, degrees): 3.916 3.916 9.513 90.00 90.00 90.00
Space group I-42d (No. 122)
Unique sites:
Zn  0.000  0.000  0.000 x4
H  0.202  0.250  0.625 x8
Rh  0.000  0.000  0.500 x4



# 5
VASP calculation (PBE) on a geometry-optimized Fe2NiAg structure.

Summary:
- offset from the most stable computed form (meV per atom) = 219
- DOS at the Fermi energy (states/eV per cell) = 26.93
- energy of formation from the pure elements (eV per atom) = 0.405

Lattice parameters (Å, degrees): 6.003 6.003 6.003 90.00 90.00 90.00
Space group Fm-3m (No. 225)
Unique sites:
Fe  0.250  0.250  0.250 x8
Ni  0.000  0.000  0.000 x4
Ag  0.000  0.000  0.500 x4



# 6
VASP calculation (PBE) on a geometry-optimized Rb2Tl2Zn structure.

Summary:
- offset from the most stable computed form (meV per atom) = 39
- DOS at the Fermi energy (states/eV per cell) = 9.19
- energy of formation from the pure elements (eV per atom) = 0.114

Lattice parameters (Å, degrees): 4.498 4.498 22.130 90.00 90.00 90.00
Space group I4/mmm (No. 139)
Unique sites:
Rb  0.000  0.000  0.100 x4
Tl  0.000  0.500  0.250 x4
Zn  0.000  0.000  0.500 x2



# 7
VASP calculation (PBE) on a geometry-optimized Tb8Al2Au structure.

Summary:
- DOS at the Fermi energy (states/eV per cell) = 23.49
- energy of formation from the pure elements (eV per atom) = -0.268

Lattice parameters (Å, degrees): 18.697 5.063 6.689 90.00 102.69 90.00
Space group C2/m (No. 12)
Unique sites:
Tb  0.023  0.000  0.271 x4
Tb  0.094  0.500  0.963 x4
Tb  0.155  0.500  0.474 x4
Tb  0.209  0.000  0.806 x4
Al  0.188  0.000  0.252 x4
Au  0.000  0.500  0.500 x2



# 8
VASP calculation (PBE) on a geometry-optimized GeSe2SN structure.

Summary:
- offset from the most stable computed form (meV per atom) = 0
- DOS at the Fermi energy (states/eV per cell) = 3.65
- formation energy without anion corrections (kJ/mol of atoms) = 81.23

Lattice parameters (Å, degrees): 5.203 5.203 3.377 90.00 90.00 90.00
Space group P4/mmm (No. 123)
Unique sites:
Ge  0.000  0.000  0.000 x1
Se  0.000  0.500  0.500 x2
S  0.500  0.500  0.500 x1
N  0.500  0.500  0.000 x1



# 9
VASP calculation (PBE) on a geometry-optimized Cs2TiPt structure.

Summary:
- offset from the most stable computed form (meV per atom) = 673
- DOS at the Fermi energy (states/eV per cell) = 22.38
- energy of formation from the pure elements (eV per atom) = 1.100

Lattice parameters (Å, degrees): 8.373 8.373 8.373 90.00 90.00 90.00
Space group Fm-3m (No. 225)
Unique sites:
Cs  0.250  0.250  0.250 x8
Ti  0.000  0.000  0.000 x4
Pt  0.000  0.000  0.500 x4



# 10
VASP calculation (PBE) on a geometry-optimized MnBe2Rh structure.

Summary:
- offset from the most stable computed form (meV per atom) = 277
- DOS at the Fermi energy (states/eV per cell) = 16.72
- energy of formation from the pure elements (eV per atom) = -0.144

Lattice parameters (Å, degrees): 5.581 5.581 5.581 90.00 90.00 90.00
Space group F-43m (No. 216)
Unique sites:
Mn  0.000  0.000  0.000 x4
Be  0.000  0.000  0.500 x4
Be  0.250  0.250  0.250 x4
Rh  0.250  0.250  0.750 x4



# 11
VASP calculation (PBE) on a geometry-optimized Sm2Ga3GePd4 structure.

Summary:
- DOS at the Fermi energy (states/eV per cell) = 5.93
- energy of formation from the pure elements (eV per atom) = -0.797

Lattice parameters (Å, degrees): 4.323 4.323 10.250 90.00 90.00 90.00
Space group P-4m2 (No. 115)
Unique sites:
Sm  0.000  0.500  0.245 x2
Ga  0.000  0.000  0.000 x1
Ga  0.000  0.500  0.628 x2
Ge  0.500  0.500  0.000 x1
Pd  0.000  0.000  0.500 x1
Pd  0.000  0.500  0.869 x2
Pd  0.500  0.500  0.500 x1



# 12
VASP calculation (PBE) on a geometry-optimized Zr2AlPO structure.

Summary:
- DOS at the Fermi energy (states/eV per cell) = 1.29
- formation energy without anion corrections (kJ/mol of atoms) = -30.14

Lattice parameters (Å, degrees): 5.096 5.096 3.509 90.00 90.00 90.00
Space group P4/mmm (No. 123)
Unique sites:
Zr  0.000  0.500  0.000 x2
Al  0.000  0.000  0.000 x1
P  0.500  0.500  0.500 x1
O  0.000  0.000  0.500 x1



Uncorrected energy: -6.03, -5.98, -3.70, -3.86, -5.98, -1.47, -4.61, -3.97, -2.81, -6.14, -5.19, -6.55 (eV/atom)